(1)
Material: LaPrHoTe3
Method: DFT, PBE
State: optimized geometry

Calculated values
Magnetization in μB per atom: 0.101
Formation energy without anion corrections in eV per atom: -1.31
Calculated density in Mg/m³: 6.8
Space-group type: P2_1/m, No. 11
D(E_F) in states/eV/cell: 8.30
Uncorrected energy in eV/atom: -5.27

Cell: 4.355 8.720 11.129 Å, 106.01 90.00 90.00°
Each line ends with the local moment (μB).
Positions (direct):
La 0.250 0.186 0.214  0.01
La 0.750 0.814 0.786  0.01
Pr 0.250 0.156 0.621  0.14
Pr 0.750 0.844 0.379  0.14
Ho 0.250 0.664 0.097  0.14
Ho 0.750 0.336 0.903  0.14
Te 0.750 0.906 0.103  0.01
Te 0.250 0.094 0.897  0.01
Te 0.250 0.768 0.560  0.01
Te 0.750 0.232 0.440  0.01
Te 0.750 0.473 0.189  0.00
Te 0.250 0.527 0.811  0.00



(2)
Material: PuGeRhO6
Method: DFT, PBE
State: optimized geometry

Calculated values
Magnetization in μB per atom: 0.333
Formation energy without anion corrections in eV per atom: -1.62
Calculated density in Mg/m³: 8.2
Space-group type: P-31c, No. 163
D(E_F) in states/eV/cell: 10.24
Uncorrected energy in eV/atom: -7.84

Cell: 5.257 5.257 8.676 Å, 90.00 90.00 120.00°
Each line ends with the local moment (μB).
Positions (direct):
Pu 0.667 0.333 0.250  3.52
Pu 0.333 0.667 0.750  3.52
Ge 0.333 0.667 0.250  0.01
Ge 0.667 0.333 0.750  0.01
Rh 0.000 0.000 0.000  -0.03
Rh 0.000 0.000 0.500  -0.03
O 0.648 0.677 0.127  -0.08
O 0.030 0.352 0.127  -0.08
O 0.352 0.030 0.627  -0.08
O 0.970 0.648 0.873  -0.08
O 0.323 0.352 0.373  -0.08
O 0.030 0.677 0.373  -0.08
O 0.677 0.030 0.873  -0.08
O 0.648 0.970 0.373  -0.08
O 0.970 0.323 0.627  -0.08
O 0.323 0.970 0.127  -0.08
O 0.677 0.648 0.627  -0.08
O 0.352 0.323 0.873  -0.08



(3)
Material: TePb2Au2
Method: DFT, PBE
State: optimized geometry

Calculated values
Magnetization in μB per atom: 0.000
Formation energy without anion corrections in eV per atom: -0.01
Calculated density in Mg/m³: 11.5
Space-group type: P4/mbm, No. 127
D(E_F) in states/eV/cell: 4.28
Uncorrected energy in eV/atom: -3.43

Cell: 9.041 9.041 3.305 Å, 90.00 90.00 90.00°
Positions (direct):
Pb 0.308 0.808 0.000
Pb 0.808 0.692 0.000
Pb 0.692 0.192 0.000
Pb 0.192 0.308 0.000
Te 0.000 0.000 0.000
Te 0.500 0.500 0.000
Au 0.109 0.609 0.500
Au 0.609 0.891 0.500
Au 0.891 0.391 0.500
Au 0.391 0.109 0.500



(4)
Material: Pm2Dy12Y5
Method: DFT, PBE
State: optimized geometry

Calculated values
Magnetization in μB per atom: 0.000
Calculated density in Mg/m³: 7.3
Space-group type: P-1, No. 2
D(E_F) in states/eV/cell: 26.90
Uncorrected energy in eV/atom: -5.09

Cell: 6.166 10.686 12.833 Å, 133.85 94.66 84.47°
Positions (direct):
Pm 0.580 0.843 0.816
Pm 0.420 0.157 0.184
Dy 0.946 0.105 0.290
Dy 0.105 0.788 0.920
Dy 0.632 0.736 0.026
Dy 0.210 0.579 0.342
Dy 0.683 0.632 0.237
Dy 0.525 0.948 0.605
Dy 0.475 0.052 0.395
Dy 0.790 0.421 0.658
Dy 0.317 0.368 0.763
Dy 0.895 0.212 0.080
Dy 0.368 0.264 0.974
Dy 0.054 0.895 0.710
Y 0.263 0.473 0.553
Y 0.159 0.684 0.131
Y 0.000 0.000 0.500
Y 0.841 0.316 0.869
Y 0.737 0.527 0.447



(5)
Material: BaPuO4
Method: DFT, PBE
State: optimized geometry

Calculated values
Magnetization in μB per atom: 0.333
Formation energy without anion corrections in eV per atom: -2.81
Calculated density in Mg/m³: 7.6
Space-group type: Pbcm, No. 57
D(E_F) in states/eV/cell: 12.26
Uncorrected energy in eV/atom: -8.83

Cell: 5.789 8.183 8.247 Å, 90.00 90.00 90.00°
Each line ends with the local moment (μB).
Positions (direct):
Ba 0.476 0.197 0.250  0.00
Ba 0.476 0.303 0.750  0.00
Ba 0.524 0.803 0.750  0.00
Ba 0.524 0.697 0.250  0.00
Pu 0.000 0.000 0.000  2.45
Pu 0.000 0.500 0.000  2.45
Pu 0.000 0.000 0.500  2.45
Pu 0.000 0.500 0.500  2.45
O 0.146 0.250 0.000  -0.10
O 0.146 0.250 0.500  -0.10
O 0.119 0.525 0.250  -0.10
O 0.119 0.975 0.750  -0.10
O 0.294 0.574 0.568  -0.11
O 0.294 0.926 0.068  -0.11
O 0.294 0.574 0.932  -0.11
O 0.294 0.926 0.432  -0.11
O 0.706 0.074 0.568  -0.11
O 0.706 0.426 0.068  -0.11
O 0.706 0.426 0.432  -0.11
O 0.706 0.074 0.932  -0.11
O 0.881 0.475 0.750  -0.10
O 0.881 0.025 0.250  -0.10
O 0.854 0.750 0.000  -0.10
O 0.854 0.750 0.500  -0.10



(6)
Material: Np3Ni8Rh
Method: DFT, PBE
State: optimized geometry

Calculated values
Magnetization in μB per atom: 0.729
Calculated density in Mg/m³: 12.6
Space-group type: R3m, No. 160
D(E_F) in states/eV/cell: 26.68
Uncorrected energy in eV/atom: -7.87

Cell: 4.913 4.913 8.556 Å, 73.32 73.32 60.00°
Each line ends with the local moment (μB).
Positions (direct):
Np 0.377 0.377 0.868  3.53
Np 0.994 0.994 0.018  3.29
Np 0.504 0.504 0.488  3.17
Ni 0.937 0.436 0.190  -0.21
Ni 0.441 0.938 0.683  -0.11
Ni 0.436 0.436 0.190  -0.21
Ni 0.938 0.938 0.683  -0.11
Ni 0.188 0.188 0.437  -0.33
Ni 0.688 0.688 0.937  -0.09
Ni 0.436 0.937 0.190  -0.21
Ni 0.938 0.441 0.683  -0.11
Rh 0.873 0.873 0.381  -0.41



(7)
Material: InReSb
Method: DFT, PBE
State: optimized geometry

Calculated values
Magnetization in μB per atom: 0.044
Formation energy without anion corrections in eV per atom: 0.68
Calculated density in Mg/m³: 10.7
Space-group type: Fmm2, No. 42
D(E_F) in states/eV/cell: 3.58
Uncorrected energy in eV/atom: -5.75

Cell: 8.369 8.116 3.042 Å, 84.09 74.71 21.20°
Each line ends with the local moment (μB).
Positions (direct):
In 0.980 0.980 0.020  0.00
Re 0.329 0.329 0.671  0.11
Sb 0.691 0.691 0.309  0.00



(8)
Material: LaTa2VGe
Method: DFT, PBE
State: optimized geometry

Calculated values
Magnetization in μB per atom: 0.423
Calculated density in Mg/m³: 8.1
Space-group type: P4/mmm, No. 123
D(E_F) in states/eV/cell: 4.19
Uncorrected energy in eV/atom: -7.39

Cell: 4.822 5.536 4.822 Å, 90.00 90.00 90.00°
Each line ends with the local moment (μB).
Positions (direct):
Ge 0.000 0.000 0.000  0.00
La 0.000 0.500 0.000  0.06
V 0.500 0.500 0.500  2.66
Ta 0.000 0.000 0.500  -0.43
Ta 0.500 0.000 0.000  -0.42



(9)
Material: MgTlW
Method: DFT, PBE
State: optimized geometry

Calculated values
Magnetization in μB per atom: 0.000
Calculated density in Mg/m³: 11.3
Space-group type: I4mm, No. 107
D(E_F) in states/eV/cell: 1.24
Uncorrected energy in eV/atom: -5.00

Cell: 7.459 7.459 7.459 Å, 157.54 157.54 31.98°
Positions (direct):
Mg 0.014 0.014 0.000
Tl 0.327 0.327 0.000
W 0.659 0.659 0.000



(10)
Material: Na12S3Cl5
Method: DFT, PBE
State: optimized geometry

Calculated values
Magnetization in μB per atom: 0.000
Formation energy without anion corrections in eV per atom: -1.26
Calculated density in Mg/m³: 1.7
Space-group type: Ia-3d, No. 230
D(E_F) in states/eV/cell: 5.73
Uncorrected energy in eV/atom: -3.13

Cell: 14.122 14.122 14.122 Å, 109.47 109.47 109.47°
Positions (direct):
S 0.750 0.375 0.125
S 0.875 0.750 0.125
S 0.375 0.750 0.625
S 0.250 0.125 0.375
S 0.875 0.125 0.250
S 0.375 0.625 0.250
S 0.625 0.375 0.750
S 0.125 0.875 0.750
S 0.750 0.875 0.625
S 0.625 0.250 0.375
S 0.125 0.250 0.875
S 0.250 0.625 0.875
Cl 0.125 0.375 0.250
Cl 0.000 0.500 0.000
Cl 0.000 0.000 0.000
Cl 0.375 0.250 0.125
Cl 0.500 0.000 0.500
Cl 0.500 0.500 0.000
Cl 0.125 0.750 0.375
Cl 0.750 0.125 0.875
Cl 0.750 0.625 0.375
Cl 0.375 0.125 0.750
Cl 0.625 0.875 0.250
Cl 0.500 0.500 0.500
Cl 0.500 0.000 0.000
Cl 0.000 0.000 0.500
Cl 0.250 0.375 0.625
Cl 0.250 0.875 0.125
Cl 0.000 0.500 0.500
Cl 0.875 0.250 0.625
Cl 0.625 0.750 0.875
Cl 0.875 0.625 0.750
Na 0.729 0.141 0.057
Na 0.329 0.557 0.416
Na 0.943 0.359 0.271
Na 0.557 0.229 0.141
Na 0.587 0.729 0.671
Na 0.943 0.584 0.171
Na 0.329 0.771 0.413
Na 0.084 0.913 0.141
Na 0.584 0.943 0.671
Na 0.729 0.587 0.171
Na 0.771 0.443 0.359
Na 0.829 0.916 0.057
Na 0.141 0.729 0.557
Na 0.359 0.416 0.087
Na 0.087 0.916 0.359
Na 0.413 0.141 0.584
Na 0.087 0.171 0.229
Na 0.443 0.671 0.084
Na 0.829 0.913 0.271
Na 0.141 0.413 0.084
Na 0.359 0.943 0.771
Na 0.584 0.641 0.413
Na 0.916 0.829 0.557
Na 0.771 0.329 0.913
Na 0.416 0.359 0.587
Na 0.084 0.171 0.443
Na 0.229 0.671 0.087
Na 0.171 0.087 0.729
Na 0.641 0.057 0.229
Na 0.859 0.587 0.916
Na 0.557 0.329 0.916
Na 0.587 0.859 0.416
Na 0.913 0.829 0.771
Na 0.913 0.084 0.641
Na 0.859 0.271 0.443
Na 0.171 0.084 0.943
Na 0.641 0.584 0.913
Na 0.416 0.057 0.329
Na 0.271 0.413 0.829
Na 0.229 0.557 0.641
Na 0.916 0.087 0.859
Na 0.671 0.229 0.587
Na 0.443 0.771 0.859
Na 0.057 0.416 0.829
Na 0.413 0.271 0.329
Na 0.057 0.641 0.729
Na 0.671 0.443 0.584
Na 0.271 0.859 0.943



(11)
Material: LiLaCu10
Method: DFT, PBE
State: optimized geometry

Calculated values
Magnetization in μB per atom: 0.000
Calculated density in Mg/m³: 7.2
Space-group type: Pmmm, No. 47
D(E_F) in states/eV/cell: 5.36
Uncorrected energy in eV/atom: -4.06

Cell: 4.120 5.008 8.674 Å, 90.00 90.00 90.00°
Positions (direct):
Li 0.000 0.500 0.500
La 0.000 0.000 0.000
Cu 0.000 0.000 0.346
Cu 0.000 0.500 0.807
Cu 0.000 0.500 0.193
Cu 0.000 0.000 0.654
Cu 0.500 0.000 0.500
Cu 0.500 0.500 0.000
Cu 0.500 0.250 0.255
Cu 0.500 0.750 0.745
Cu 0.500 0.750 0.255
Cu 0.500 0.250 0.745



(12)
Material: Ac2LaSmSe5
Method: DFT, PBE
State: optimized geometry

Calculated values
Magnetization in μB per atom: 0.000
Formation energy without anion corrections in eV per atom: -1.83
Calculated density in Mg/m³: 7.0
Space-group type: Cmc2_1, No. 36
D(E_F) in states/eV/cell: 10.52
Uncorrected energy in eV/atom: -5.75

Cell: 4.354 9.306 13.648 Å, 90.00 90.00 103.53°
Positions (direct):
Ac 0.856 0.712 0.798
Ac 0.106 0.212 0.689
Ac 0.144 0.288 0.298
Ac 0.894 0.788 0.189
La 0.532 0.063 0.958
La 0.468 0.937 0.458
Sm 0.791 0.581 0.509
Sm 0.209 0.419 0.009
Se 0.370 0.740 0.999
Se 0.685 0.370 0.860
Se 0.488 0.976 0.760
Se 0.276 0.552 0.661
Se 0.936 0.871 0.590
Se 0.630 0.260 0.499
Se 0.315 0.630 0.360
Se 0.512 0.024 0.260
Se 0.724 0.448 0.161
Se 0.064 0.129 0.090



(13)
Material: Sc2Hg2Rh
Method: DFT, PBE
State: optimized geometry

Calculated values
Magnetization in μB per atom: 0.000
Calculated density in Mg/m³: 9.0
Space-group type: I4/mmm, No. 139
D(E_F) in states/eV/cell: 7.86
Uncorrected energy in eV/atom: -3.82

Cell: 4.033 4.033 7.310 Å, 73.99 73.99 90.00°
Positions (direct):
Sc 0.750 0.250 0.500
Sc 0.250 0.750 0.500
Rh 0.000 0.000 0.000
Hg 0.402 0.402 0.197
Hg 0.598 0.598 0.803



(14)
Material: ZnP
Method: DFT, PBE
State: optimized geometry

Calculated values
Magnetization in μB per atom: 0.000
Calculated density in Mg/m³: 3.1
Space-group type: P4/m, No. 83
D(E_F) in states/eV/cell: 6.13
Uncorrected energy in eV/atom: -3.29

Cell: 10.777 10.777 3.578 Å, 90.00 90.00 90.00°
Positions (direct):
Zn 0.787 0.445 0.500
Zn 0.213 0.555 0.500
Zn 0.555 0.787 0.500
Zn 0.445 0.213 0.500
Zn 0.867 0.685 0.000
Zn 0.133 0.315 0.000
Zn 0.315 0.867 0.000
Zn 0.685 0.133 0.000
P 0.731 0.659 0.500
P 0.269 0.341 0.500
P 0.341 0.731 0.500
P 0.659 0.269 0.500
P 0.943 0.416 0.000
P 0.057 0.584 0.000
P 0.584 0.943 0.000
P 0.416 0.057 0.000



(15)
Material: VFe
Method: DFT, PBE
State: optimized geometry

Calculated values
Magnetization in μB per atom: 0.328
Calculated density in Mg/m³: 4.1
Space-group type: Pm-3n, No. 223
D(E_F) in states/eV/cell: 16.19
Uncorrected energy in eV/atom: -7.16

Cell: 6.397 6.397 6.397 Å, 90.00 90.00 90.00°
Each line ends with the local moment (μB).
Positions (direct):
V 0.250 0.000 0.500  1.69
V 0.750 0.000 0.500  1.69
V 0.000 0.500 0.250  1.69
V 0.000 0.500 0.750  1.69
V 0.500 0.250 0.000  1.69
V 0.500 0.750 0.000  1.69
Fe 0.250 0.500 0.000  -1.31
Fe 0.750 0.500 0.000  -1.31
Fe 0.500 0.000 0.250  -1.31
Fe 0.500 0.000 0.750  -1.31
Fe 0.000 0.250 0.500  -1.31
Fe 0.000 0.750 0.500  -1.31



(16)
Material: La5PrHo
Method: DFT, PBE
State: optimized geometry

Calculated values
Magnetization in μB per atom: 0.000
Calculated density in Mg/m³: 6.5
Space-group type: C2/c, No. 15
D(E_F) in states/eV/cell: 22.89
Uncorrected energy in eV/atom: -4.71

Cell: 6.310 9.486 9.210 Å, 86.13 78.29 70.57°
Positions (direct):
La 0.390 0.628 0.851
La 0.454 0.305 0.535
La 0.018 0.372 0.351
La 0.858 0.285 0.750
La 0.241 0.305 0.965
La 0.759 0.695 0.035
La 0.142 0.715 0.250
La 0.982 0.628 0.649
La 0.546 0.695 0.465
La 0.610 0.372 0.149
Pr 0.000 0.000 0.000
Pr 0.000 0.000 0.500
Ho 0.511 0.979 0.750
Ho 0.489 0.021 0.250



(17)
Material: Ce2H2N
Method: DFT, PBE
State: optimized geometry

Calculated values
Magnetization in μB per atom: 0.231
Calculated density in Mg/m³: 7.0
Space-group type: Fddd, No. 70
D(E_F) in states/eV/cell: 12.97
Uncorrected energy in eV/atom: -6.10

Cell: 5.999 5.999 5.612 Å, 118.41 118.41 96.34°
Each line ends with the local moment (μB).
Positions (direct):
Ce 0.379 0.621 0.250  0.48
Ce 0.871 0.129 0.250  0.48
Ce 0.129 0.871 0.750  0.48
Ce 0.621 0.379 0.750  0.48
H 0.750 0.500 0.499  -0.01
H 0.500 0.250 0.001  -0.01
H 0.500 0.750 0.999  -0.01
H 0.250 0.500 0.501  -0.01
N 0.125 0.875 0.250  -0.03
N 0.875 0.125 0.750  -0.03



(18)
Material: TiInF2
Method: DFT, PBE
State: optimized geometry

Calculated values
Magnetization in μB per atom: 0.672
Formation energy without anion corrections in eV per atom: -1.14
Calculated density in Mg/m³: 5.4
Space-group type: Fm-3m, No. 225
D(E_F) in states/eV/cell: 2.24
Uncorrected energy in eV/atom: -4.73

Cell: 4.449 4.449 4.449 Å, 60.00 60.00 60.00°
Each line ends with the local moment (μB).
Positions (direct):
F 0.250 0.250 0.250  0.03
F 0.750 0.750 0.750  0.03
Ti 0.000 0.000 0.000  1.93
In 0.500 0.500 0.500  0.12